DFT (PBEsol) results for a geometry-optimized NaSi2HgSe structure.

a = 5.0511 Å, b = 5.0511 Å, c = 4.8911 Å
α = 90.00°, β = 90.00°, γ = 90.00°
With the nearest neighbours (Å) after each atom.
Space group P4/mmm (No. 123)
Unique sites:
1 Na 0.0000 0.0000 0.0000  2 Se 2.45, 4 Si 2.53
2 Si 0.0000 0.5000 0.0000  2 Na 2.53
3 Hg 0.5000 0.5000 0.5000  8 Si 3.52, 4 Se 3.57
4 Se 0.0000 0.0000 0.5000  2 Na 2.45

Spin magnetization = 0.0 μB per formula unit
VASP energy = -2.368 eV per atom
E_form (uncorrected) = 1.094 eV per atom
Calculated volume = 24.96 A^3/atom

DFT (PBEsol) results for a geometry-optimized Sc2CrInB structure.

a = 4.6228 Å, b = 4.6228 Å, c = 4.3972 Å
α = 90.00°, β = 90.00°, γ = 90.00°
With the nearest neighbours (Å) after each atom.
Space group P4/mmm (No. 123)
Unique sites:
1 Sc 0.0000 0.5000 0.0000  2 B 2.31
2 Cr 0.0000 0.0000 0.5000  8 Sc 3.19, 4 In 3.27
3 In 0.5000 0.5000 0.5000  2 B 2.20
4 B 0.5000 0.5000 0.0000  2 In 2.20, 4 Sc 2.31

Spin magnetization = 4.4 μB per formula unit
VASP energy = -6.454 eV per atom
E_form = 0.24 eV per atom
Calculated volume = 18.79 A^3/atom

DFT (PBEsol) results for a geometry-optimized LiVF6 structure.

a = 9.0617 Å, b = 9.0289 Å, c = 15.2235 Å
α = 90.00°, β = 125.87°, γ = 90.00°
With the nearest neighbours (Å) after each atom.
Space group Pc (No. 7)
Unique sites:
1 Li 0.0000 0.0120 0.0000  4 F 1.85-1.87
2 Li 0.2425 0.3702 0.8701  4 F 1.86-1.87
3 Li 0.4440 0.1175 0.3700  4 F 1.86-1.89
4 Li 0.5184 0.3635 0.6529  4 F 1.86-1.90
5 V 0.1035 0.2808 0.3831  6 F 1.72-1.85
6 V 0.3605 0.2829 0.1348  6 F 1.75-1.81
7 V 0.6323 0.2394 0.8996  6 F 1.73-1.83
8 V 0.8570 0.2100 0.6362  6 F 1.75-1.81
9 F 0.0150 0.3906 0.4358  1 V 1.74
10 F 0.0739 0.2389 0.7645  1 V 1.80, 1 Li 1.86
11 F 0.0794 0.1173 0.4414  1 V 1.80, 1 Li 1.85
12 F 0.1453 0.4399 0.3296  1 V 1.80, 1 Li 1.86
13 F 0.1892 0.1418 0.0910  1 V 1.81, 1 Li 1.86
14 F 0.2228 0.1679 0.3441  1 V 1.82, 1 Li 1.86
15 F 0.2231 0.4098 0.1437  1 V 1.75
16 F 0.2519 0.3314 0.9942  1 V 1.81, 1 Li 1.87
17 F 0.3307 0.3113 0.5117  1 V 1.85, 1 Li 1.86
18 F 0.4673 0.2285 0.2736  1 V 1.80, 1 Li 1.89
19 F 0.4711 0.3591 0.8975  1 V 1.80, 1 Li 1.86
20 F 0.4791 0.0850 0.8703  1 V 1.83, 1 Li 1.86
21 F 0.4992 0.1570 0.1268  1 V 1.75
22 F 0.5044 0.2587 0.7526  1 V 1.83, 1 Li 1.86
23 F 0.5238 0.4288 0.1745  1 V 1.80, 1 Li 1.90
24 F 0.6406 0.1801 0.5075  1 V 1.80, 1 Li 1.87
25 F 0.7434 0.3216 0.6785  1 V 1.81, 1 Li 1.88
26 F 0.7498 0.2114 0.0381  1 V 1.74
27 F 0.7651 0.3886 0.9135  1 V 1.73
28 F 0.7817 0.1094 0.8975  1 V 1.81, 1 Li 1.87
29 F 0.8230 0.0540 0.6908  1 V 1.75
30 F 0.8928 0.3698 0.5859  1 V 1.75
31 F 0.8955 0.2515 0.2610  1 V 1.72
32 F 0.9639 0.0978 0.5903  1 V 1.80, 1 Li 1.87

Spin magnetization = 0.1 μB per formula unit
VASP energy = -5.714 eV per atom
E_form (uncorrected) = -2.818 eV per atom
Calculated volume = 15.77 A^3/atom

DFT (PBEsol) results for a geometry-optimized KMn3 structure.

a = 5.0898 Å, b = 5.0898 Å, c = 2.8281 Å
α = 90.00°, β = 90.00°, γ = 90.00°
With the nearest neighbours (Å) after each atom.
Space group P4/mmm (No. 123)
Unique sites:
1 K 0.0000 0.0000 0.0000  2 K 2.83, 8 Mn 2.91
2 Mn 0.0000 0.5000 0.5000  6 Mn 2.83-2.91, 4 K 2.91
3 Mn 0.5000 0.5000 0.0000  10 Mn 2.83-2.91

Spin magnetization = 11.2 μB per formula unit
VASP energy = -6.120 eV per atom
E_form = 1.48 eV per atom
Calculated volume = 18.32 A^3/atom

DFT (PBEsol) results for a geometry-optimized AgAsPt4 structure.

a = 7.3903 Å, b = 7.3903 Å, c = 7.3903 Å
α = 90.00°, β = 90.00°, γ = 90.00°
With the nearest neighbours (Å) after each atom.
Space group F-43m (No. 216)
Unique sites:
1 Ag 0.0000 0.0000 0.0000  12 Pt 3.06, 4 As 3.20
2 As 0.2500 0.2500 0.2500  12 Pt 3.06, 4 Ag 3.20
3 Pt 0.1251 0.1251 0.6251  6 Pt 2.61-2.62

Spin magnetization = 0.0 μB per formula unit
VASP energy = -5.838 eV per atom
E_form = 0.21 eV per atom
Calculated volume = 16.82 A^3/atom

DFT (PBEsol) results for a geometry-optimized MgAs2I structure.

a = 7.0919 Å, b = 7.0919 Å, c = 7.0919 Å
α = 90.00°, β = 90.00°, γ = 90.00°
With the nearest neighbours (Å) after each atom.
Space group Fm-3m (No. 225)
Unique sites:
1 Mg 0.0000 0.0000 0.0000  8 As 3.07
2 As 0.2500 0.2500 0.2500  4 I 3.07, 4 Mg 3.07
3 I 0.0000 0.0000 0.5000  8 As 3.07

Spin magnetization = 0.0 μB per formula unit
VASP energy = -3.016 eV per atom
E_form (uncorrected) = 0.408 eV per atom
Calculated volume = 22.29 A^3/atom